1.
AgIr2Ru (PBE, optimized geometry); DOS(E_F) = 6.50 states/eV/cell; V = 60.2 Å³/cell; formation energy from the elements = 0.426 eV/atom; energy relative to the lowest polymorph listed for this composition = 5.53 kcal/mol of atoms; symmetry = No. 65
1.0
4.828 0.001 0.000
-1.658 4.534 0.000
0.000 0.000 2.750
Ru Ir Ag
1 2 1
direct
0.500 0.000 0.500
0.500 0.500 0.000
0.000 0.000 0.000
0.000 0.500 0.500


2.
Ag2IrRu (PBE, optimized geometry); DOS(E_F) = 3.87 states/eV/cell; V = 64.1 Å³/cell; formation energy from the elements = 0.221 eV/atom; energy relative to the lowest polymorph listed for this composition = 0.00 kcal/mol of atoms; symmetry = No. 99
1.0
2.791 0.000 0.000
0.000 2.791 0.000
0.000 0.000 8.233
Ag Ru Ir
2 1 1
direct
0.500 0.500 0.259
0.000 0.000 0.990
0.500 0.500 0.729
0.000 0.000 0.523


3.
AgIr2Ru (PBE, optimized geometry); DOS(E_F) = 5.52 states/eV/cell; V = 60.4 Å³/cell; formation energy from the elements = 0.339 eV/atom; energy relative to the lowest polymorph listed for this composition = 3.50 kcal/mol of atoms; symmetry = No. 8
1.0
4.785 0.001 -0.002
3.991 2.640 -0.002
0.796 0.240 4.782
Ir Ag Ru
2 1 1
direct
0.751 0.751 0.744
0.009 0.009 0.986
0.250 0.250 0.249
0.490 0.490 0.521


4.
AgIrRu2 (PBE, optimized geometry); DOS(E_F) = 4.94 states/eV/cell; V = 60.1 Å³/cell; formation energy from the elements = 0.313 eV/atom; energy relative to the lowest polymorph listed for this composition = 1.70 kcal/mol of atoms; symmetry = No. 123
1.0
-0.097 2.320 1.446
-2.497 0.514 -0.992
-3.265 -3.977 6.159
Ir Ag Ru
1 1 2
direct
0.500 0.500 0.750
0.500 0.500 0.250
0.000 0.000 0.518
0.000 0.000 0.982